Entry from the Alexandria database: Li5Co3Cl12 after structural relaxation (PBE).

As for the density of states at the Fermi level: 0.75 states/eV/atom. The formation energy from raw total energies is -100 kJ/mol of atoms. The total DFT energy (no corrections) is -590.99 eV per cell. The value obtained for the total magnetization is 79.4 μB per cell.

The structure belongs to space group Ia-3d (No. 230); the cell edges are 15.682, 15.682 and 15.682 Å and the angles 90.00°, 90.00° and 90.00°. The distinct sites, in fractional coordinates, are Li at (0.000, 0.000, 0.000), Li at (0.000, 0.250, 0.375), Co at (0.000, 0.250, 0.125) and Cl at (0.022, 0.030, 0.345).

---

Entry from the Alexandria database: AcMgNi2H8 after structural relaxation (PBE).

As for the density of states at the Fermi level: 0.35 states/eV/atom. The total DFT energy (no corrections) is -137.94 eV per cell. The value obtained for the total magnetization is 0.0 μB per cell.

The structure belongs to space group R-3 (No. 148, hexagonal axes); the cell edges are 4.7598, 4.7598 and 17.6701 Å and the angles 90.00°, 90.00° and 120.00°. The distinct sites, in fractional coordinates, are Ac at (0.0000, 0.0000, 0.0000), Mg at (0.0000, 0.0000, 0.5000), Ni at (0.0000, 0.0000, 0.2236), H at (0.0000, 0.0000, 0.3103) and H at (0.0061, 0.6548, 0.5577).

---

Entry from the Alexandria database: Sb2Te after structural relaxation (PBE).

As for the density of states at the Fermi level: 0.60 states/eV/atom. The formation energy from raw total energies is 21 kJ/mol of atoms. The total DFT energy (no corrections) is -42.97 eV per cell. The value obtained for the total magnetization is 0.0 μB per cell. For the offset from the most stable computed form, the calculation gives 0.281 eV/atom.

The structure belongs to space group I4/mcm (No. 140); the cell edges are 6.393, 6.393 and 9.108 Å and the angles 90.00°, 90.00° and 90.00°. The distinct sites, in fractional coordinates, are Sb at (0.169, 0.331, 0.000) and Te at (0.000, 0.000, 0.250).

---

Entry from the Alexandria database: CaLa2Al after structural relaxation (PBE).

As for the density of states at the Fermi level: 1.61 states/eV/atom. As for the formation energy: 0.021 eV/atom. The total DFT energy (no corrections) is -46.55 eV per cell. The value obtained for the total magnetization is 0.0 μB per cell.

The structure belongs to space group R3m (No. 160, hexagonal axes); the cell edges are 3.7292, 3.7292 and 33.3358 Å and the angles 90.00°, 90.00° and 120.00°. The distinct sites, in fractional coordinates, are Ca at (0.0000, 0.0000, 0.0000), La at (0.0000, 0.0000, 0.2339), La at (0.0000, 0.0000, 0.4783) and Al at (0.0000, 0.0000, 0.7382).